First-principles (PBE+U) data for a relaxed structure of Ba4Mn2Ag2As4O17, as listed in the Alexandria database.

Unit cell a=6.032 b=8.906 c=9.542 alpha=65.50 beta=88.59 gamma=88.65
Sites, in units of the cell vectors:
1 Ba 0.000 0.000 0.000
2 Ba 0.030 0.460 0.145
3 Ba 0.438 0.997 0.647
4 Ba 0.472 0.446 0.791
5 Mn 0.223 0.722 0.400
6 Mn 0.719 0.719 0.401
7 Ag 0.508 0.391 0.389
8 Ag 0.960 0.055 0.396
9 As 0.482 0.729 0.073
10 As 0.521 0.117 0.191
11 As 0.966 0.709 0.729
12 As 0.982 0.316 0.596
13 O 0.000 0.842 0.815
14 O 0.077 0.250 0.457
15 O 0.186 0.250 0.732
16 O 0.205 0.736 0.613
17 O 0.244 0.700 0.191
18 O 0.252 0.190 0.127
19 O 0.450 0.592 0.992
20 O 0.472 0.576 0.479
21 O 0.475 0.933 0.946
22 O 0.481 0.900 0.322
23 O 0.580 0.185 0.340
24 O 0.725 0.688 0.176
25 O 0.725 0.755 0.623
26 O 0.734 0.238 0.684
27 O 0.955 0.505 0.857
28 O 0.963 0.531 0.493
29 O 0.968 0.859 0.320

Properties
calculated total energy: -6.302 eV/atom